Record 1
The following is a GGA-PBEsol calculation of a relaxed structure of MgCd3, from Alexandria.

## Properties
SG: Imm2
E above lowest polymorph: 21 meV per atom
crystal system: orthorhombic

a = 3.094 Å, b = 10.280 Å, c = 5.228 Å
α = 90.00°, β = 90.00°, γ = 90.00°
Fractional coordinates of all 8 atoms:
Mg  0.000  0.000  0.000
Mg  0.500  0.500  0.500
Cd  0.000  0.251  0.664
Cd  0.000  0.500  0.996
Cd  0.000  0.749  0.664
Cd  0.500  0.000  0.496
Cd  0.500  0.249  0.164
Cd  0.500  0.751  0.164

---

Record 2
The following is a GGA-PBEsol calculation of a relaxed structure of Mg2Cd, from Alexandria.

## Properties
SG: I4/mcm
crystal system: tetragonal

a = 6.895 Å, b = 6.895 Å, c = 5.656 Å
α = 90.00°, β = 90.00°, γ = 90.00°
Fractional coordinates of all 12 atoms:
Mg  0.160  0.340  0.000
Mg  0.160  0.660  0.500
Mg  0.340  0.160  0.500
Mg  0.340  0.840  0.000
Mg  0.660  0.160  0.000
Mg  0.660  0.840  0.500
Mg  0.840  0.340  0.500
Mg  0.840  0.660  0.000
Cd  0.000  0.000  0.250
Cd  0.000  0.000  0.750
Cd  0.500  0.500  0.250
Cd  0.500  0.500  0.750

---

Record 3
The following is a GGA-PBEsol calculation of a relaxed structure of Mg2Cd, from Alexandria.

## Properties
SG: Fd-3m
crystal system: cubic

a = 9.072 Å, b = 9.072 Å, c = 9.072 Å
α = 60.00°, β = 60.00°, γ = 60.00°
Fractional coordinates of all 24 atoms:
Mg  0.000  0.000  0.000
Mg  0.000  0.000  0.500
Mg  0.000  0.500  0.000
Mg  0.182  0.182  0.568
Mg  0.182  0.568  0.182
Mg  0.182  0.568  0.568
Mg  0.432  0.432  0.818
Mg  0.432  0.818  0.432
Mg  0.432  0.818  0.818
Mg  0.500  0.000  0.000
Mg  0.568  0.182  0.182
Mg  0.568  0.182  0.568
Mg  0.568  0.568  0.182
Mg  0.818  0.432  0.432
Mg  0.818  0.432  0.818
Mg  0.818  0.818  0.432
Cd  0.151  0.783  0.783
Cd  0.217  0.217  0.217
Cd  0.217  0.217  0.849
Cd  0.217  0.849  0.217
Cd  0.783  0.151  0.783
Cd  0.783  0.783  0.151
Cd  0.783  0.783  0.783
Cd  0.849  0.217  0.217

---

Record 4
The following is a GGA-PBEsol calculation of a relaxed structure of MgCd3, from Alexandria.

## Properties
SG: P6_3cm
E above lowest polymorph: 48 meV per atom
crystal system: hexagonal

a = 8.361 Å, b = 8.361 Å, c = 8.652 Å
α = 90.00°, β = 90.00°, γ = 120.00°
Fractional coordinates of all 24 atoms:
Mg  0.000  0.334  0.000
Mg  0.000  0.666  0.500
Mg  0.334  0.000  0.000
Mg  0.334  0.334  0.500
Mg  0.666  0.000  0.500
Mg  0.666  0.666  0.000
Cd  0.000  0.000  0.232
Cd  0.000  0.000  0.732
Cd  0.000  0.329  0.339
Cd  0.000  0.337  0.662
Cd  0.000  0.663  0.162
Cd  0.000  0.671  0.839
Cd  0.329  0.000  0.339
Cd  0.329  0.329  0.839
Cd  0.333  0.667  0.258
Cd  0.333  0.667  0.758
Cd  0.337  0.000  0.662
Cd  0.337  0.337  0.162
Cd  0.663  0.000  0.162
Cd  0.663  0.663  0.662
Cd  0.667  0.333  0.258
Cd  0.667  0.333  0.758
Cd  0.671  0.000  0.839
Cd  0.671  0.671  0.339

---

Record 5
The following is a GGA-PBEsol calculation of a relaxed structure of MgCd, from Alexandria.

## Properties
SG: Cm
crystal system: monoclinic

a = 11.134 Å, b = 3.148 Å, c = 7.489 Å
α = 90.00°, β = 107.15°, γ = 90.00°
Fractional coordinates of all 12 atoms:
Mg  0.000  0.000  0.000
Mg  0.048  0.000  0.607
Mg  0.364  0.000  0.264
Mg  0.500  0.500  0.000
Mg  0.548  0.500  0.607
Mg  0.864  0.500  0.264
Cd  0.147  0.500  0.335
Cd  0.219  0.500  0.933
Cd  0.330  0.000  0.659
Cd  0.647  0.000  0.335
Cd  0.719  0.000  0.933
Cd  0.830  0.500  0.659

---

Record 6
The following is a GGA-PBEsol calculation of a relaxed structure of MgCd3, from Alexandria.

## Properties
SG: P2/m
E above lowest polymorph: 42 meV per atom
crystal system: monoclinic

a = 3.177 Å, b = 5.130 Å, c = 5.236 Å
α = 90.00°, β = 92.73°, γ = 90.00°
Fractional coordinates of all 4 atoms:
Mg  0.000  0.000  0.000
Cd  0.281  0.500  0.244
Cd  0.500  0.000  0.500
Cd  0.719  0.500  0.756

---

Record 7
The following is a GGA-PBEsol calculation of a relaxed structure of MgCd3, from Alexandria.

## Properties
SG: Pm-3m
E above lowest polymorph: 1 meV per atom
crystal system: cubic

a = 4.357 Å, b = 4.357 Å, c = 4.357 Å
α = 90.00°, β = 90.00°, γ = 90.00°
Fractional coordinates of all 4 atoms:
Mg  0.000  0.000  0.000
Cd  0.000  0.500  0.500
Cd  0.500  0.000  0.500
Cd  0.500  0.500  0.000

---

Record 8
The following is a GGA-PBEsol calculation of a relaxed structure of Mg5Cd4, from Alexandria.

## Properties
SG: P6_3/mcm
E above lowest polymorph: 9 meV per atom
crystal system: hexagonal

a = 8.555 Å, b = 8.555 Å, c = 6.028 Å
α = 90.00°, β = 90.00°, γ = 120.00°
Fractional coordinates of all 18 atoms:
Mg  0.000  0.306  0.250
Mg  0.000  0.694  0.750
Mg  0.306  0.000  0.250
Mg  0.306  0.306  0.750
Mg  0.333  0.667  0.000
Mg  0.333  0.667  0.500
Mg  0.667  0.333  0.000
Mg  0.667  0.333  0.500
Mg  0.694  0.000  0.750
Mg  0.694  0.694  0.250
Cd  0.000  0.000  0.000
Cd  0.000  0.000  0.500
Cd  0.000  0.362  0.750
Cd  0.000  0.638  0.250
Cd  0.362  0.000  0.750
Cd  0.362  0.362  0.250
Cd  0.638  0.000  0.250
Cd  0.638  0.638  0.750

---

Record 9
The following is a GGA-PBEsol calculation of a relaxed structure of MgCd, from Alexandria.

## Properties
SG: Pnma
crystal system: orthorhombic

a = 5.687 Å, b = 4.884 Å, c = 5.984 Å
α = 90.00°, β = 90.00°, γ = 90.00°
Fractional coordinates of all 8 atoms:
Mg  0.115  0.250  0.128
Mg  0.385  0.750  0.628
Mg  0.615  0.250  0.372
Mg  0.885  0.750  0.872
Cd  0.066  0.250  0.633
Cd  0.434  0.750  0.133
Cd  0.566  0.250  0.867
Cd  0.934  0.750  0.367

---

Record 10
The following is a GGA-PBEsol calculation of a relaxed structure of MgCd, from Alexandria.

## Properties
SG: P3m1
crystal system: trigonal

a = 3.183 Å, b = 3.183 Å, c = 14.545 Å
α = 90.00°, β = 90.00°, γ = 120.00°
Fractional coordinates of all 6 atoms:
Mg  0.000  0.000  0.000
Mg  0.000  0.000  0.330
Mg  0.333  0.667  0.824
Cd  0.000  0.000  0.659
Cd  0.333  0.667  0.165
Cd  0.333  0.667  0.494

---

Record 11
The following is a GGA-PBEsol calculation of a relaxed structure of Mg2Cd, from Alexandria.

## Properties
SG: P-6m2
crystal system: hexagonal

a = 3.192 Å, b = 3.192 Å, c = 14.668 Å
α = 90.00°, β = 90.00°, γ = 120.00°
Fractional coordinates of all 6 atoms:
Mg  0.000  0.000  0.000
Mg  0.000  0.000  0.326
Mg  0.000  0.000  0.674
Mg  0.667  0.333  0.500
Cd  0.667  0.333  0.163
Cd  0.667  0.333  0.837

---

Record 12
The following is a GGA-PBEsol calculation of a relaxed structure of Mg5Cd, from Alexandria.

## Properties
SG: Cmmm
crystal system: orthorhombic

a = 4.475 Å, b = 13.220 Å, c = 4.422 Å
α = 90.00°, β = 90.00°, γ = 90.00°
Fractional coordinates of all 12 atoms:
Mg  0.000  0.000  0.000
Mg  0.000  0.163  0.500
Mg  0.000  0.335  0.000
Mg  0.000  0.665  0.000
Mg  0.000  0.837  0.500
Mg  0.500  0.165  0.000
Mg  0.500  0.337  0.500
Mg  0.500  0.500  0.000
Mg  0.500  0.663  0.500
Mg  0.500  0.835  0.000
Cd  0.000  0.500  0.500
Cd  0.500  0.000  0.500

---

Record 13
The following is a GGA-PBEsol calculation of a relaxed structure of Mg4Cd, from Alexandria.

## Properties
SG: I4/m
crystal system: tetragonal

a = 6.980 Å, b = 6.980 Å, c = 4.460 Å
α = 90.00°, β = 90.00°, γ = 90.00°
Fractional coordinates of all 10 atoms:
Mg  0.103  0.701  0.000
Mg  0.201  0.397  0.500
Mg  0.299  0.103  0.000
Mg  0.397  0.799  0.500
Mg  0.603  0.201  0.500
Mg  0.701  0.897  0.000
Mg  0.799  0.603  0.500
Mg  0.897  0.299  0.000
Cd  0.000  0.000  0.500
Cd  0.500  0.500  0.000

---

Record 14
The following is a GGA-PBEsol calculation of a relaxed structure of Mg7Cd, from Alexandria.

## Properties
SG: Fm-3m
crystal system: cubic

a = 6.294 Å, b = 6.294 Å, c = 6.294 Å
α = 60.00°, β = 60.00°, γ = 60.00°
Fractional coordinates of all 8 atoms:
Mg  0.000  0.000  0.000
Mg  0.000  0.000  0.500
Mg  0.000  0.500  0.000
Mg  0.000  0.500  0.500
Mg  0.500  0.000  0.000
Mg  0.500  0.000  0.500
Mg  0.500  0.500  0.000
Cd  0.500  0.500  0.500

---

Record 15
The following is a GGA-PBEsol calculation of a relaxed structure of Mg3Cd5, from Alexandria.

## Properties
SG: Cmmm
E above lowest polymorph: 0 meV per atom
crystal system: orthorhombic

a = 8.491 Å, b = 8.906 Å, c = 4.395 Å
α = 90.00°, β = 90.00°, γ = 90.00°
Fractional coordinates of all 16 atoms:
Mg  0.000  0.000  0.000
Mg  0.000  0.257  0.500
Mg  0.000  0.743  0.500
Mg  0.500  0.243  0.500
Mg  0.500  0.500  0.000
Mg  0.500  0.757  0.500
Cd  0.000  0.500  0.000
Cd  0.242  0.000  0.500
Cd  0.250  0.250  0.000
Cd  0.250  0.750  0.000
Cd  0.258  0.500  0.500
Cd  0.500  0.000  0.000
Cd  0.742  0.500  0.500
Cd  0.750  0.250  0.000
Cd  0.750  0.750  0.000
Cd  0.758  0.000  0.500

---

Record 16
The following is a GGA-PBEsol calculation of a relaxed structure of MgCd, from Alexandria.

## Properties
SG: P-3m1
crystal system: trigonal

a = 3.180 Å, b = 3.180 Å, c = 9.763 Å
α = 90.00°, β = 90.00°, γ = 120.00°
Fractional coordinates of all 4 atoms:
Mg  0.333  0.667  0.369
Mg  0.667  0.333  0.631
Cd  0.333  0.667  0.876
Cd  0.667  0.333  0.124

---

Record 17
The following is a GGA-PBEsol calculation of a relaxed structure of Mg5Cd, from Alexandria.

## Properties
SG: P4/mmm
crystal system: tetragonal

a = 3.184 Å, b = 3.184 Å, c = 13.079 Å
α = 90.00°, β = 90.00°, γ = 90.00°
Fractional coordinates of all 6 atoms:
Mg  0.000  0.000  0.000
Mg  0.000  0.000  0.345
Mg  0.000  0.000  0.655
Mg  0.500  0.500  0.172
Mg  0.500  0.500  0.828
Cd  0.500  0.500  0.500

---

Record 18
The following is a GGA-PBEsol calculation of a relaxed structure of Mg17Cd12, from Alexandria.

## Properties
SG: I-43m
crystal system: cubic

a = 9.288 Å, b = 9.288 Å, c = 9.288 Å
α = 109.47°, β = 109.47°, γ = 109.47°
Fractional coordinates of all 29 atoms:
Mg  0.000  0.000  0.000
Mg  0.000  0.000  0.656
Mg  0.000  0.405  0.685
Mg  0.000  0.656  0.000
Mg  0.000  0.685  0.405
Mg  0.280  0.595  0.595
Mg  0.315  0.315  0.720
Mg  0.315  0.720  0.315
Mg  0.344  0.344  0.344
Mg  0.405  0.000  0.685
Mg  0.405  0.685  0.000
Mg  0.595  0.280  0.595
Mg  0.595  0.595  0.280
Mg  0.656  0.000  0.000
Mg  0.685  0.000  0.405
Mg  0.685  0.405  0.000
Mg  0.720  0.315  0.315
Cd  0.000  0.192  0.379
Cd  0.000  0.379  0.192
Cd  0.187  0.808  0.808
Cd  0.192  0.000  0.379
Cd  0.192  0.379  0.000
Cd  0.379  0.000  0.192
Cd  0.379  0.192  0.000
Cd  0.621  0.621  0.813
Cd  0.621  0.813  0.621
Cd  0.808  0.187  0.808
Cd  0.808  0.808  0.187
Cd  0.813  0.621  0.621

---

Record 19
The following is a GGA-PBEsol calculation of a relaxed structure of MgCd3, from Alexandria.

## Properties
SG: P6_3/mmc
E above lowest polymorph: 103 meV per atom
crystal system: hexagonal

a = 4.849 Å, b = 4.849 Å, c = 8.686 Å
α = 90.00°, β = 90.00°, γ = 120.00°
Fractional coordinates of all 8 atoms:
Mg  0.333  0.667  0.250
Mg  0.667  0.333  0.750
Cd  0.000  0.000  0.250
Cd  0.000  0.000  0.750
Cd  0.333  0.667  0.581
Cd  0.333  0.667  0.919
Cd  0.667  0.333  0.081
Cd  0.667  0.333  0.419

---

Record 20
The following is a GGA-PBEsol calculation of a relaxed structure of MgCd3, from Alexandria.

## Properties
SG: Pmmn
E above lowest polymorph: 0 meV per atom
crystal system: orthorhombic

a = 4.991 Å, b = 6.253 Å, c = 5.267 Å
α = 90.00°, β = 90.00°, γ = 90.00°
Fractional coordinates of all 8 atoms:
Mg  0.250  0.250  0.163
Mg  0.750  0.750  0.837
Cd  0.250  0.001  0.666
Cd  0.250  0.499  0.666
Cd  0.250  0.750  0.169
Cd  0.750  0.250  0.831
Cd  0.750  0.501  0.334
Cd  0.750  0.999  0.334

---

Record 21
The following is a GGA-PBEsol calculation of a relaxed structure of MgCd, from Alexandria.

## Properties
SG: P4/mmm
crystal system: tetragonal

a = 3.182 Å, b = 3.182 Å, c = 4.092 Å
α = 90.00°, β = 90.00°, γ = 90.00°
Fractional coordinates of all 2 atoms:
Mg  0.000  0.000  0.000
Cd  0.500  0.500  0.500

---

Record 22
The following is a GGA-PBEsol calculation of a relaxed structure of MgCd, from Alexandria.

## Properties
SG: Cmcm
crystal system: orthorhombic

a = 3.113 Å, b = 11.305 Å, c = 4.882 Å
α = 90.00°, β = 90.00°, γ = 90.00°
Fractional coordinates of all 8 atoms:
Mg  0.000  0.080  0.250
Mg  0.000  0.920  0.750
Mg  0.500  0.420  0.750
Mg  0.500  0.580  0.250
Cd  0.000  0.341  0.250
Cd  0.000  0.659  0.750
Cd  0.500  0.159  0.750
Cd  0.500  0.841  0.250

---

Record 23
The following is a GGA-PBEsol calculation of a relaxed structure of MgCd, from Alexandria.

## Properties
SG: Pbcm
crystal system: orthorhombic

a = 10.400 Å, b = 8.362 Å, c = 5.887 Å
α = 90.00°, β = 90.00°, γ = 90.00°
Fractional coordinates of all 24 atoms:
Mg  0.128  0.250  0.000
Mg  0.128  0.250  0.500
Mg  0.170  0.637  0.250
Mg  0.170  0.863  0.750
Mg  0.342  0.043  0.250
Mg  0.342  0.457  0.750
Mg  0.658  0.543  0.250
Mg  0.658  0.957  0.750
Mg  0.830  0.137  0.250
Mg  0.830  0.363  0.750
Mg  0.872  0.750  0.000
Mg  0.872  0.750  0.500
Cd  0.067  0.547  0.750
Cd  0.067  0.953  0.250
Cd  0.371  0.093  0.750
Cd  0.371  0.407  0.250
Cd  0.418  0.750  0.000
Cd  0.418  0.750  0.500
Cd  0.582  0.250  0.000
Cd  0.582  0.250  0.500
Cd  0.629  0.593  0.750
Cd  0.629  0.907  0.250
Cd  0.933  0.047  0.750
Cd  0.933  0.453  0.250

---

no.,magnetic moment (Bohr magnetons per cell),formation enthalpy at 0 K (eV/atom)
1,0.000,-0.058
2,0.000,-0.045
3,0.000,-0.063
4,0.000,-0.031
5,0.000,-0.093
6,0.000,-0.037
7,0.000,-0.078
8,0.000,-0.073
9,0.000,-0.112
10,0.000,-0.051
11,0.000,-0.050
12,0.000,-0.042
13,0.000,-0.045
14,0.000,-0.023
15,0.000,-0.091
16,0.000,-0.038
17,0.000,-0.031
18,0.000,-0.092
19,0.000,0.024
20,0.000,-0.079
21,0.000,-0.112
22,0.000,-0.014
23,0.000,-0.076